# 1
Tm2MgGe2 | meta-GGA SCAN | PBEsol geometry

Cell: 7.112 7.112 4.124 Å, 90.00 90.00 90.00°
Positions (direct):
1 Tm 0.177 0.323 0.000
2 Tm 0.323 0.823 0.000
3 Tm 0.677 0.177 0.000
4 Tm 0.823 0.677 0.000
5 Mg 0.000 0.000 0.500
6 Mg 0.500 0.500 0.500
7 Ge 0.124 0.624 0.500
8 Ge 0.376 0.124 0.500
9 Ge 0.624 0.876 0.500
10 Ge 0.876 0.376 0.500

Computed properties:
* spin magnetization: 0.00 μB/f.u.
* E_tot: -30.183 eV per atom

# 2
ScInCo | meta-GGA SCAN | PBEsol geometry

Cell: 6.258 6.258 6.258 Å, 90.00 90.00 90.00°
Positions (direct):
1 Sc 0.000 0.000 0.000
2 Sc 0.000 0.500 0.500
3 Sc 0.500 0.000 0.500
4 Sc 0.500 0.500 0.000
5 In 0.250 0.250 0.750
6 In 0.250 0.750 0.250
7 In 0.750 0.250 0.250
8 In 0.750 0.750 0.750
9 Co 0.250 0.250 0.250
10 Co 0.250 0.750 0.750
11 Co 0.750 0.250 0.750
12 Co 0.750 0.750 0.250

Computed properties:
* spin magnetization: 1.01 μB/f.u.
* E_tot: -21.256 eV per atom

# 3
Fe3NiMo6N2 | meta-GGA SCAN | PBEsol geometry

Cell: 6.593 6.600 6.605 Å, 90.00 90.41 90.00°
Positions (direct):
1 Fe 0.070 0.000 0.324
2 Fe 0.181 0.252 0.569
3 Fe 0.427 0.142 0.815
4 Fe 0.573 0.642 0.185
5 Fe 0.819 0.752 0.431
6 Fe 0.930 0.500 0.676
7 Ni 0.316 0.888 0.066
8 Ni 0.684 0.388 0.934
9 Mo 0.049 0.192 0.954
10 Mo 0.122 0.865 0.701
11 Mo 0.204 0.620 0.371
12 Mo 0.298 0.521 0.875
13 Mo 0.377 0.271 0.200
14 Mo 0.451 0.946 0.453
15 Mo 0.549 0.446 0.547
16 Mo 0.623 0.771 0.800
17 Mo 0.702 0.021 0.125
18 Mo 0.796 0.120 0.629
19 Mo 0.878 0.365 0.299
20 Mo 0.951 0.692 0.046
21 N 0.125 0.444 0.123
22 N 0.374 0.695 0.625
23 N 0.626 0.195 0.375
24 N 0.875 0.944 0.877

Computed properties:
* raw formation energy: -0.178 eV per atom
* spin magnetization: 7.30 μB/f.u.
* E_tot: -25.049 eV per atom

# 4
BaBe2Cr | meta-GGA SCAN | PBEsol geometry

Cell: 4.914 4.914 3.048 Å, 90.00 90.00 90.00°
Positions (direct):
1 Ba 0.000 0.000 0.000
2 Be 0.000 0.500 0.500
3 Be 0.500 0.000 0.500
4 Cr 0.500 0.500 0.000

Computed properties:
* spin magnetization: 3.68 μB/f.u.
* E_tot: -15.651 eV per atom

# 5
ReAgHg2 | meta-GGA SCAN | PBEsol geometry

Cell: 9.433 2.816 5.389 Å, 90.00 98.90 90.00°
Positions (direct):
1 Re 0.000 0.000 0.000
2 Re 0.500 0.500 0.000
3 Ag 0.000 0.500 0.500
4 Ag 0.500 0.000 0.500
5 Hg 0.248 0.500 0.244
6 Hg 0.252 0.000 0.756
7 Hg 0.748 0.000 0.244
8 Hg 0.752 0.500 0.756

Computed properties:
* spin magnetization: 0.00 μB/f.u.
* E_tot: -58.929 eV per atom

# 6
ZrPtRh | meta-GGA SCAN | PBEsol geometry

Cell: 6.104 6.104 6.104 Å, 90.00 90.00 90.00°
Positions (direct):
1 Zr 0.000 0.000 0.000
2 Zr 0.000 0.500 0.500
3 Zr 0.500 0.000 0.500
4 Zr 0.500 0.500 0.000
5 Pt 0.250 0.250 0.750
6 Pt 0.250 0.750 0.250
7 Pt 0.750 0.250 0.250
8 Pt 0.750 0.750 0.750
9 Rh 0.250 0.250 0.250
10 Rh 0.250 0.750 0.750
11 Rh 0.750 0.250 0.750
12 Rh 0.750 0.750 0.250

Computed properties:
* spin magnetization: 0.00 μB/f.u.
* E_tot: -45.503 eV per atom

# 7
CaScCo2 | meta-GGA SCAN | PBEsol geometry

Cell: 3.500 4.062 10.883 Å, 90.00 90.00 90.00°
Positions (direct):
1 Ca 0.000 0.000 0.000
2 Ca 0.500 0.500 0.500
3 Sc 0.000 0.500 0.235
4 Sc 0.500 0.000 0.735
5 Co 0.000 0.000 0.388
6 Co 0.000 0.500 0.771
7 Co 0.500 0.000 0.271
8 Co 0.500 0.500 0.888

Computed properties:
* spin magnetization: 2.17 μB/f.u.
* E_tot: -14.475 eV per atom

# 8
BaNbPO2 | meta-GGA SCAN | PBEsol geometry

Cell: 4.205 4.205 6.419 Å, 90.00 90.00 90.00°
Positions (direct):
1 Ba 0.000 0.000 0.000
2 Nb 0.500 0.500 0.500
3 P 0.000 0.000 0.500
4 O 0.000 0.500 0.000
5 O 0.500 0.000 0.000

Computed properties:
* raw formation energy: 0.345 eV per atom
* spin magnetization: 2.06 μB/f.u.
* E_tot: -18.763 eV per atom

# 9
Rb3AlBr | meta-GGA SCAN | PBEsol geometry

Cell: 6.703 6.703 6.703 Å, 90.00 90.00 90.00°
Positions (direct):
1 Rb 0.000 0.000 0.500
2 Rb 0.000 0.500 0.000
3 Rb 0.500 0.000 0.000
4 Al 0.000 0.000 0.000
5 Br 0.500 0.500 0.500

Computed properties:
* raw formation energy: -0.125 eV per atom
* spin magnetization: 0.00 μB/f.u.
* E_tot: -18.011 eV per atom

# 10
TiBrF3 | meta-GGA SCAN | PBEsol geometry

Cell: 4.508 4.508 4.508 Å, 90.00 90.00 90.00°
Positions (direct):
1 Ti 0.000 0.000 0.000
2 Br 0.500 0.500 0.500
3 F 0.000 0.500 0.500
4 F 0.500 0.000 0.500
5 F 0.500 0.500 0.000

Computed properties:
* raw formation energy: -0.389 eV per atom
* spin magnetization: 2.40 μB/f.u.
* E_tot: -9.610 eV per atom

# 11
MnZn2Hg | meta-GGA SCAN | PBEsol geometry

Cell: 8.972 2.902 4.883 Å, 90.00 101.95 90.00°
Positions (direct):
1 Mn 0.000 0.000 0.000
2 Mn 0.500 0.500 0.000
3 Zn 0.013 0.500 0.540
4 Zn 0.256 0.000 0.775
5 Zn 0.513 0.000 0.540
6 Zn 0.756 0.500 0.775
7 Hg 0.257 0.500 0.270
8 Hg 0.757 0.000 0.270

Computed properties:
* spin magnetization: 3.83 μB/f.u.
* E_tot: -28.328 eV per atom

# 12
BaSiI2 | meta-GGA SCAN | PBEsol geometry

Cell: 5.567 5.567 20.484 Å, 90.00 90.00 90.00°
Positions (direct):
1 Ba 0.000 0.000 0.000
2 Ba 0.000 0.500 0.250
3 Ba 0.500 0.000 0.750
4 Ba 0.500 0.500 0.500
5 Si 0.000 0.000 0.500
6 Si 0.000 0.500 0.750
7 Si 0.500 0.000 0.250
8 Si 0.500 0.500 0.000
9 I 0.206 0.250 0.625
10 I 0.250 0.706 0.875
11 I 0.250 0.794 0.375
12 I 0.294 0.250 0.125
13 I 0.706 0.750 0.125
14 I 0.750 0.206 0.375
15 I 0.750 0.294 0.875
16 I 0.794 0.750 0.625

Computed properties:
* raw formation energy: -0.351 eV per atom
* spin magnetization: 0.00 μB/f.u.
* E_tot: -31.113 eV per atom